{
  "formula": "TiRe3Pb",
  "functional": "PBE-GGA",
  "state": "relaxed",
  "mass_density_g_cm3": 13.235,
  "formation_energy_mev_per_atom": 1854,
  "dft_energy_ev_per_atom": -7.94,
  "de_polymorph_mev_per_atom": 0.0,
  "crystal_system": "cubic",
  "cell": [[4.6737, 0.0000, 0.0000], [0.0000, 4.6737, 0.0000], [0.0000, 0.0000, 4.6737]],
  "species": ["Ti", "Re", "Re", "Re", "Pb"],
  "frac_coords": [[0.0000, 0.0000, 0.0000], [0.0000, 0.0000, 0.5000], [0.0000, 0.5000, 0.0000], [0.5000, 0.0000, 0.0000], [0.5000, 0.5000, 0.5000]]
}